NaYAuS2 | GGA-PBE | optimized geometry

abc: 6.4188 5.1042 7.4966
angles: 90.00 91.15 90.00
Space group P2/c (No. 13)
Asymmetric unit:
Na 0.0000 0.0133 0.2500
Y 0.5000 0.4987 0.7500
Au 0.5000 0.0000 0.0000
S 0.2266 0.3254 0.9960

Values from the calculation:
* Fermi-level density of states: 0.47 states/eV/atom
* formation energy from raw total energies: -1.0799 eV per atom